1.
First-principles (PBE) data for a geometry-optimized TmBiN structure, as listed in Alexandria via LeMat-Bulk.

Structure (POSCAR):
```
TmBiN
1.0
-2.316 -1.830 -2.050
1.961 -2.434 -1.773
-1.711 -8.792 7.243
N Bi Tm
2 2 2
Direct
0.830 0.170 0.000 N
0.170 0.830 0.000 N
0.375 0.375 0.659 Bi
0.625 0.625 0.341 Bi
0.259 0.259 0.117 Tm
0.741 0.741 0.883 Tm
```

Properties
N(E_F) = 2.48 states/eV/cell
ΔE_f (raw) = -0.7138 eV per atom
total energy = -18.8 eV/f.u.



2.
First-principles (PBE) data for a geometry-optimized MnCoCl structure, as listed in Alexandria via LeMat-Bulk.

Structure (POSCAR):
```
MnCoCl
1.0
-2.232 -4.889 3.283
-0.975 -5.837 0.728
1.582 -0.369 2.523
Co Mn Cl
1 1 1
Direct
0.677 0.677 0.323 Co
0.330 0.330 0.670 Mn
0.994 0.994 0.006 Cl
```

Properties
N(E_F) = 2.56 states/eV/cell
ΔE_f (raw) = 0.2492 eV per atom
total energy = -17.4 eV/f.u.



3.
First-principles (PBE) data for a geometry-optimized Er4Hg5Ge2 structure, as listed in Alexandria via LeMat-Bulk.

Structure (POSCAR):
```
Er4Hg5Ge2
1.0
3.786 0.000 0.000
0.000 7.692 -0.084
0.000 -0.847 9.112
Hg Ge Er
5 2 4
Direct
0.000 0.500 0.000 Hg
0.000 0.154 0.133 Hg
0.000 0.464 0.671 Hg
0.000 0.846 0.867 Hg
0.000 0.536 0.329 Hg
0.000 0.926 0.372 Ge
0.000 0.074 0.628 Ge
0.500 0.190 0.857 Er
0.500 0.764 0.574 Er
0.500 0.810 0.143 Er
0.500 0.236 0.426 Er
```

Properties
N(E_F) = 5.86 states/eV/cell
energy of formation = -462 meV/atom
total energy = -34.1 eV/f.u.



4.
First-principles (PBE) data for a geometry-optimized CdTe3Rh2 structure, as listed in Alexandria via LeMat-Bulk.

Structure (POSCAR):
```
CdTe3Rh2
1.0
-1.346 1.741 5.309
-5.091 4.858 -2.883
-2.097 -7.086 1.792
Te Rh Cd
6 4 2
Direct
0.256 0.656 0.828 Te
0.744 0.344 0.172 Te
0.256 0.172 0.344 Te
0.744 0.828 0.656 Te
0.744 0.828 0.172 Te
0.256 0.172 0.828 Te
0.000 0.000 0.000 Rh
0.000 0.500 0.500 Rh
0.000 0.500 0.000 Rh
0.000 0.000 0.500 Rh
0.307 0.667 0.333 Cd
0.693 0.333 0.667 Cd
```

Properties
N(E_F) = 7.70 states/eV/cell
ΔE_f (raw) = -0.2652 eV per atom
total energy = -26.6 eV/f.u.



5.
First-principles (PBE) data for a geometry-optimized BeSbCl3 structure, as listed in Alexandria via LeMat-Bulk.

Structure (POSCAR):
```
BeSbCl3
1.0
-4.175 -1.284 1.418
-0.756 -2.019 -4.055
1.757 -3.920 1.625
Sb Cl Be
1 3 1
Direct
0.500 0.500 0.500 Sb
0.500 0.000 0.000 Cl
0.000 0.500 0.000 Cl
0.000 0.000 0.500 Cl
0.000 0.000 0.000 Be
```

Properties
N(E_F) = 2.26 states/eV/cell
ΔE to the lowest computed polymorph = 0 meV/atom
ΔE_f (raw) = -0.3085 eV per atom
total energy = -14.9 eV/f.u.



6.
First-principles (PBE) data for a geometry-optimized NaAgPb2 structure, as listed in Alexandria via LeMat-Bulk.

Structure (POSCAR):
```
NaAgPb2
1.0
-2.227 1.220 -2.524
0.426 -3.039 -1.844
-6.388 -3.336 4.024
Ag Pb Na
1 2 1
Direct
0.500 0.500 0.000 Ag
0.000 0.000 0.220 Pb
0.000 0.000 0.780 Pb
0.500 0.500 0.500 Na
```

Properties
N(E_F) = 2.34 states/eV/cell
energy of formation = -32 meV/atom
total energy = -11.7 eV/f.u.